Entry 1:
## LiFeGe2Bi (GGA-PBE)

Data for LiFeGe2Bi after structural relaxation.

Cell: 5.5561 5.5561 4.9224 Å, 90.00 90.00 90.00°
Last column: magnetic moment on the atom in μB.
Element x y z (fractional)
1 Li 0.0000 0.0000 0.5000  0.00
2 Bi 0.0000 0.0000 0.0000  0.00
3 Fe 0.5000 0.5000 0.5000  3.32
4 Ge 0.0000 0.5000 0.0000  -0.07
5 Ge 0.5000 0.0000 0.0000  -0.07

Output
* E: -3.50 eV per atom
* ΔE_f: 1203 meV/atom
* SG: P4/mmm
* Fermi-level density of states: 1.440 states/eV per atom
* calculated density: 4557 kg/m³


Entry 2:
## LiReAg2 (GGA-PBE)

Data for LiReAg2 after structural relaxation.

Cell: 3.8301 3.8301 9.8428 Å, 78.78 78.78 90.00°
Last column: magnetic moment on the atom in μB.
Element x y z (fractional)
1 Li 0.2500 0.7500 0.5000  0.00
2 Li 0.5000 0.5000 0.0000  0.00
3 Re 0.7500 0.2500 0.5000  1.38
4 Re 0.0000 0.0000 0.0000  1.39
5 Ag 0.6197 0.1250 0.2500  0.06
6 Ag 0.3750 0.3803 0.7500  0.07
7 Ag 0.1303 0.6250 0.2500  0.06
8 Ag 0.8750 0.8697 0.7500  0.06

Output
* E: -3.93 eV per atom
* ΔE_f: 1090 meV/atom
* SG: I-42d
* Fermi-level density of states: 1.015 states/eV per atom
* calculated density: 9782 kg/m³
* ΔE to the lowest computed polymorph: 795 meV per atom


Entry 3:
## BiTe4Pb2 (GGA-PBE)

Data for BiTe4Pb2 after structural relaxation.

Cell: 4.4883 9.2713 12.5861 Å, 90.00 90.00 90.00°
Element x y z (fractional)
1 Pb 0.5000 0.7557 0.7524
2 Pb 0.5000 0.2443 0.2476
3 Pb 0.5000 0.7443 0.2524
4 Pb 0.5000 0.2557 0.7476
5 Bi 0.0000 0.5000 0.0000
6 Bi 0.0000 0.0000 0.5000
7 Te 0.0000 0.4957 0.2529
8 Te 0.5000 0.2437 0.4978
9 Te 0.5000 0.7563 0.5022
10 Te 0.5000 0.2563 0.9978
11 Te 0.0000 0.0043 0.7529
12 Te 0.5000 0.7437 0.0022
13 Te 0.0000 0.5043 0.7471
14 Te 0.0000 0.9957 0.2471

Output
* E: -3.64 eV per atom
* SG: Pbam
* Fermi-level density of states: 0.972 states/eV per atom
* raw formation energy: -227 meV per atom
* calculated density: 7189 kg/m³